VASP calculation (PBE) on a relaxed structure of Ag9Te2.

abc: 3.0004 3.0004 33.4016
angles: 90.00 90.00 120.00
Element x y z (fractional)
Ag  0.3333  0.6667  0.2207
Ag  0.0000  0.0000  0.2909
Ag  0.6667  0.3333  0.3607
Ag  0.3333  0.6667  0.4307
Ag  0.0000  0.0000  0.5000
Ag  0.6667  0.3333  0.5693
Ag  0.3333  0.6667  0.6393
Ag  0.0000  0.0000  0.7091
Ag  0.6667  0.3333  0.7793
Te  0.6667  0.3333  0.1389
Te  0.3333  0.6667  0.8611

Calculated values
Symmetry ... No. 164
Uncorrected energy ... -2.766 eV/atom

VASP calculation (PBE) on a relaxed structure of Ag2Te.

abc: 6.0096 6.0096 6.0096
angles: 90.00 90.00 90.00
Element x y z (fractional)
Ag  0.7500  0.2500  0.2500
Ag  0.2500  0.7500  0.2500
Ag  0.2500  0.2500  0.7500
Ag  0.7500  0.7500  0.7500
Te  0.0000  0.0000  0.0000
Te  0.5000  0.5000  0.5000

Calculated values
Symmetry ... No. 224
Uncorrected energy ... -2.873 eV/atom

VASP calculation (PBE) on a relaxed structure of Ag8Te.

abc: 4.9547 4.9547 28.8823
angles: 90.41 90.41 48.73
Element x y z (fractional)
Ag  0.3495  0.3495  0.0161
Ag  0.0505  0.0505  0.0487
Ag  0.7509  0.7509  0.0823
Ag  0.4511  0.4511  0.1139
Ag  0.1501  0.1501  0.1475
Ag  0.8476  0.8476  0.1798
Ag  0.5476  0.5476  0.2126
Ag  0.2452  0.2452  0.2519
Ag  0.7548  0.7548  0.7481
Ag  0.4524  0.4524  0.7874
Ag  0.1524  0.1524  0.8202
Ag  0.8499  0.8499  0.8525
Ag  0.5489  0.5489  0.8861
Ag  0.2491  0.2491  0.9177
Ag  0.9495  0.9495  0.9513
Ag  0.6505  0.6505  0.9839
Te  0.9489  0.9489  0.2803
Te  0.0511  0.0511  0.7197

Calculated values
Symmetry ... No. 12
Uncorrected energy ... -2.857 eV/atom

- Look up the uncorrected energy of the first one.
  -2.766 eV/atom

- Which of these has the lowest uncorrected energy?
  Ag2Te